1.
Rb2NaHg2H6: optimized geometry, PBE.

## Properties
DFT total energy, eV/cell: -24.183
DOS(E_F), states/eV/atom: 0.171

abc: 5.966 6.256 7.324
angles: 115.19 90.00 118.48
Fractional positions:
Hg1 0.956 0.911 0.767
H1 0.230 0.460 0.363
Hg2 0.044 0.089 0.233
H2 0.213 0.912 0.228
Rb1 0.298 0.596 0.823
Rb2 0.702 0.404 0.177
H3 0.300 0.088 0.772
H4 0.700 0.912 0.228
Na1 0.500 0.000 0.500
H5 0.787 0.088 0.772
H6 0.770 0.540 0.637



2.
NbAgSb2: optimized geometry, PBE.

## Properties
Raw formation energy, meV per atom: 286
DFT total energy, eV/cell: -20.022
DOS(E_F), states/eV/atom: 0.947

abc: 4.974 4.974 4.974
angles: 60.00 60.00 60.00
Fractional positions:
Nb1 0.000 0.000 0.000
Sb1 0.250 0.250 0.250
Sb2 0.750 0.750 0.750
Ag1 0.500 0.500 0.500



3.
SnBrN2: optimized geometry, PBE.

## Properties
Raw formation energy, meV per atom: 1756
DFT total energy, eV/cell: -15.304
DOS(E_F), states/eV/atom: 0.345

abc: 7.135 7.135 7.135
angles: 26.67 26.67 26.67
Fractional positions:
N1 0.111 0.111 0.111
Sn1 0.000 0.000 0.000
Br1 0.500 0.500 0.500
N2 0.889 0.889 0.889



4.
Li2In5SnPb: optimized geometry, PBE.

## Properties
DFT total energy, eV/cell: -50.963
DOS(E_F), states/eV/atom: 0.457
Formation enthalpy at 0 K, eV/atom: -0.0278

abc: 7.059 7.059 10.364
angles: 109.91 109.91 90.00
Fractional positions:
In1 0.809 0.929 0.239
Li1 0.869 0.631 0.000
In2 0.429 0.309 0.239
In3 0.309 0.809 0.239
Pb1 0.250 0.250 0.500
Li2 0.131 0.369 0.000
Pb2 0.750 0.750 0.500
In4 0.500 0.500 0.000
In5 0.191 0.071 0.761
Li3 0.631 0.131 0.000
Sn1 0.750 0.250 0.500
In6 0.571 0.691 0.761
Li4 0.369 0.869 0.000
In7 0.691 0.191 0.761
Sn2 0.250 0.750 0.500
In8 0.071 0.571 0.761
In9 0.000 0.000 0.000
In10 0.929 0.429 0.239



5.
SrTbSb2: optimized geometry, PBE.

## Properties
Raw formation energy, meV per atom: -870
DFT total energy, eV/cell: -18.036
DOS(E_F), states/eV/atom: 0.941

abc: 4.676 4.676 7.870
angles: 72.72 72.72 60.00
Fractional positions:
Sb1 0.241 0.241 0.277
Tb1 0.497 0.497 0.509
Sr1 0.670 0.670 0.991
Sb2 0.092 0.092 0.723



6.
TbDyY2: optimized geometry, PBE.

## Properties
DFT total energy, eV/cell: -22.123
DOS(E_F), states/eV/atom: 1.573
Formation enthalpy at 0 K, eV/atom: 0.0094

abc: 3.591 3.590 11.670
angles: 81.21 90.00 59.99
Fractional positions:
Dy1 0.481 0.178 0.625
Tb1 0.897 0.347 0.874
Y1 0.647 0.846 0.123
Y2 0.064 0.013 0.374



7.
LiYSi2Pt5: optimized geometry, PBE.

## Properties
Raw formation energy, meV per atom: -892
DFT total energy, eV/cell: -57.458
DOS(E_F), states/eV/atom: 0.333

abc: 4.096 4.096 9.104
angles: 90.00 90.00 90.00
Fractional positions:
Si1 0.500 0.500 0.128
Pt1 0.500 0.000 0.263
Pt2 0.500 0.000 0.737
Li1 0.000 0.000 0.000
Si2 0.500 0.500 0.872
Pt3 0.500 0.500 0.500
Pt4 0.000 0.500 0.263
Y1 0.000 0.000 0.500
Pt5 0.000 0.500 0.737



8.
In5Pd2Au4: optimized geometry, PBE.

## Properties
DFT total energy, eV/cell: -79.950
DOS(E_F), states/eV/atom: 0.210
Formation enthalpy at 0 K, eV/atom: -0.2534

abc: 3.474 7.190 17.528
angles: 90.00 90.00 90.00
Fractional positions:
In1 0.000 0.000 0.500
Au1 0.500 0.782 0.933
In2 0.000 0.618 0.578
Au2 0.500 0.421 0.856
Au3 0.500 0.282 0.567
In3 0.000 0.882 0.078
In4 0.000 0.769 0.288
Au4 0.500 0.079 0.356
Au5 0.500 0.921 0.644
In5 0.000 0.731 0.788
Au6 0.500 0.718 0.433
Pd1 0.500 0.531 0.697
In6 0.000 0.500 0.000
Pd2 0.500 0.031 0.803
In7 0.000 0.118 0.922
Au7 0.500 0.218 0.067
In8 0.000 0.269 0.212
Pd3 0.500 0.469 0.303
Au8 0.500 0.579 0.144
Pd4 0.500 0.969 0.197
In9 0.000 0.231 0.712
In10 0.000 0.382 0.422



9.
HoGeIr3: optimized geometry, PBE.

## Properties
DFT total energy, eV/cell: -76.207
DOS(E_F), states/eV/atom: 0.656
Formation enthalpy at 0 K, eV/atom: -0.4651

abc: 6.361 6.361 6.361
angles: 107.61 129.22 93.74
Fractional positions:
Ir1 0.500 0.701 0.701
Ge1 0.500 0.500 0.000
Ir2 0.500 0.299 0.299
Ho1 0.987 0.737 0.750
Ir3 0.000 0.299 0.799
Ir4 0.000 0.701 0.201
Ho2 0.013 0.263 0.250
Ir5 0.690 0.940 0.250
Ir6 0.310 0.060 0.750
Ge2 0.500 0.000 0.500



10.
In2CuSnMo: optimized geometry, PBE.

## Properties
DFT total energy, eV/cell: -20.692
DOS(E_F), states/eV/atom: 0.677
Formation enthalpy at 0 K, eV/atom: 0.7430

abc: 4.879 5.011 4.879
angles: 90.00 90.00 90.00
Fractional positions:
In1 0.500 0.000 0.000
In2 0.000 0.000 0.500
Mo1 0.000 0.500 0.000
Cu1 0.000 0.000 0.000
Sn1 0.500 0.500 0.500



11.
TbYPtRh: optimized geometry, PBE.

## Properties
DFT total energy, eV/cell: -28.577
DOS(E_F), states/eV/atom: 0.350
Formation enthalpy at 0 K, eV/atom: -1.0225

abc: 4.912 4.912 4.912
angles: 60.00 60.00 60.00
Fractional positions:
Rh1 0.750 0.750 0.750
Tb1 0.000 0.000 0.000
Pt1 0.250 0.250 0.250
Y1 0.500 0.500 0.500



12.
TbSm12Hg6: optimized geometry, PBE.

## Properties
DFT total energy, eV/cell: -66.762
DOS(E_F), states/eV/atom: 1.106
Formation enthalpy at 0 K, eV/atom: -0.1943

abc: 8.222 8.222 8.222
angles: 87.78 87.78 87.78
Fractional positions:
Hg1 0.876 0.252 0.726
Sm1 0.393 0.086 0.126
Hg2 0.748 0.274 0.124
Sm2 0.531 0.425 0.811
Hg3 0.124 0.748 0.274
Sm3 0.811 0.531 0.425
Hg4 0.726 0.876 0.252
Sm4 0.914 0.874 0.607
Sm5 0.189 0.469 0.575
Sm6 0.425 0.811 0.531
Tb1 0.000 0.000 0.000
Sm7 0.469 0.575 0.189
Sm8 0.607 0.914 0.874
Hg5 0.252 0.726 0.876
Sm9 0.575 0.189 0.469
Sm10 0.086 0.126 0.393
Sm11 0.126 0.393 0.086
Hg6 0.274 0.124 0.748
Sm12 0.874 0.607 0.914



13.
Te2SeCl: optimized geometry, PBE.

## Properties
Raw formation energy, meV per atom: 89
DFT total energy, eV/cell: -11.259
DOS(E_F), states/eV/atom: 0.885

abc: 8.878 8.878 8.878
angles: 24.73 24.73 24.73
Fractional positions:
Se1 0.250 0.250 0.250
Cl1 0.750 0.750 0.750
Te1 0.992 0.992 0.992
Te2 0.508 0.508 0.508



14.
HgTeSe: optimized geometry, PBE.

## Properties
Raw formation energy, meV per atom: 86
DFT total energy, eV/cell: -6.670
DOS(E_F), states/eV/atom: 0.680

abc: 4.230 4.230 5.149
angles: 90.00 90.00 120.00
Fractional positions:
Te1 0.333 0.667 0.680
Se1 0.667 0.333 0.308
Hg1 0.000 0.000 0.012



15.
CsHgAs: optimized geometry, PBE.

## Properties
DFT total energy, eV/cell: -13.428
DOS(E_F), states/eV/atom: 0.000
Formation enthalpy at 0 K, eV/atom: -0.3030

abc: 5.104 9.625 7.323
angles: 49.01 69.59 57.89
Fractional positions:
As1 0.469 0.108 0.181
Cs1 0.115 0.203 0.699
Hg1 0.299 0.652 0.430
Hg2 0.931 0.020 0.432
As2 0.761 0.816 0.179
Cs2 0.616 0.608 0.887



16.
MnV2Mo: optimized geometry, PBE.

## Properties
DFT total energy, eV/cell: -77.766
DOS(E_F), states/eV/atom: 0.697
Formation enthalpy at 0 K, eV/atom: -0.1613

abc: 2.977 4.223 8.956
angles: 90.00 109.52 90.00
Fractional positions:
V1 0.113 0.750 0.113
Mo1 0.869 0.750 0.368
V2 0.366 0.250 0.365
Mn1 0.382 0.750 0.882
Mo2 0.131 0.250 0.632
V3 0.634 0.750 0.635
Mn2 0.618 0.250 0.118
V4 0.887 0.250 0.887



17.
Mn2ZnPd2: optimized geometry, PBE.

## Properties
DFT total energy, eV/cell: -60.542
DOS(E_F), states/eV/atom: 0.798
Formation enthalpy at 0 K, eV/atom: -0.0545

abc: 7.244 7.244 3.067
angles: 90.00 90.00 90.00
Fractional positions:
Pd1 0.859 0.641 0.000
Pd2 0.641 0.141 0.000
Mn1 0.656 0.844 0.500
Mn2 0.844 0.344 0.500
Zn1 0.000 0.000 0.000
Mn3 0.344 0.156 0.500
Mn4 0.156 0.656 0.500
Pd3 0.141 0.359 0.000
Zn2 0.500 0.500 0.000
Pd4 0.359 0.859 0.000



18.
HfCoP: optimized geometry, PBE.

## Properties
DFT total energy, eV/cell: -25.492
DOS(E_F), states/eV/atom: 0.740
Formation enthalpy at 0 K, eV/atom: -1.0077

abc: 3.477 3.786 3.786
angles: 120.00 90.00 90.00
Fractional positions:
P1 0.167 0.000 0.000
Co1 0.167 0.667 0.333
Hf1 0.667 0.333 0.667



19.
Tb2UMnC4: optimized geometry, PBE.

## Properties
DFT total energy, eV/cell: -132.169
DOS(E_F), states/eV/atom: 0.798
Formation enthalpy at 0 K, eV/atom: 0.0662

abc: 3.431 5.988 11.961
angles: 90.00 90.00 106.65
Fractional positions:
Tb1 0.633 0.267 0.045
C1 0.723 0.445 0.643
C2 0.723 0.445 0.857
C3 0.425 0.850 0.750
Tb2 0.633 0.267 0.455
C4 0.000 0.000 0.500
Mn1 0.168 0.336 0.250
C5 0.575 0.150 0.250
Mn2 0.832 0.664 0.750
C6 0.277 0.555 0.357
C7 0.277 0.555 0.143
C8 0.000 0.000 0.000
Tb3 0.367 0.733 0.545
U1 0.096 0.191 0.750
Tb4 0.367 0.733 0.955
U2 0.904 0.809 0.250



20.
ScMoI2: optimized geometry, PBE.

## Properties
Raw formation energy, meV per atom: 360
DFT total energy, eV/cell: -18.822
DOS(E_F), states/eV/atom: 0.671

abc: 5.035 5.035 5.035
angles: 60.00 60.00 60.00
Fractional positions:
Mo1 0.500 0.500 0.500
I1 0.750 0.750 0.750
I2 0.250 0.250 0.250
Sc1 0.000 0.000 0.000